9
Lattice="3.528 0.000 0.001 0.001 7.209 4.146 -0.001 0.015 8.316" Properties=species:S:1:pos:R:3 comment="TbNd2Ag6 | the Alexandria database | GGA-PBE | relaxed" e_tot_ev_per_cell=-33.558 ef_mev_per_atom=-254 pbc="T T T"
Tb 0.000 0.000 0.000
Nd 0.000 2.408 4.154
Nd 3.528 4.816 8.309
Ag 1.763 4.820 2.772
Ag 1.766 7.214 6.902
Ag 1.765 2.404 9.691
Ag 1.764 4.825 5.528
Ag 1.762 0.010 5.561
Ag 1.764 2.399 6.935

3
Lattice="5.117 0.000 0.000 2.558 4.431 0.000 2.558 1.477 4.178" Properties=species:S:1:pos:R:3 comment="TbNdAg | the Alexandria database | GGA-PBE | relaxed" e_tot_ev_per_cell=-12.020 ef_mev_per_atom=76 pbc="T T T"
Nd 5.117 2.954 2.089
Tb 0.000 0.000 0.000
Ag 2.558 1.477 1.044

10
Lattice="7.127 -0.128 -0.619 -2.073 6.820 0.619 -3.316 -2.750 6.806" Properties=species:S:1:pos:R:3 comment="Tb3NdAg | the Alexandria database | GGA-PBE | relaxed" e_tot_ev_per_cell=-42.464 ef_mev_per_atom=56 pbc="T T T"
Tb 3.140 5.971 1.427
Tb 0.170 2.039 1.427
Tb 1.568 1.903 5.379
Tb 3.760 2.415 1.106
Tb -1.401 -2.029 5.379
Tb -2.022 1.527 5.700
Nd 2.159 -1.630 4.845
Nd -0.420 5.572 1.961
Ag 1.891 3.826 3.062
Ag -0.153 0.116 3.744

8
Lattice="-3.209 3.980 -1.089 -2.137 -2.783 -3.875 -3.257 -3.847 8.085" Properties=species:S:1:pos:R:3 comment="TbNd2Ag | the Alexandria database | GGA-PBE | relaxed" e_tot_ev_per_cell=-34.979 ef_mev_per_atom=-118 pbc="T T T"
Tb -1.760 -0.964 1.663
Tb -6.843 -1.685 1.458
Nd -1.068 -1.391 -1.937
Nd -1.604 1.990 -0.544
Nd -4.262 -2.334 4.027
Nd -4.341 -0.315 -0.906
Ag -4.033 -3.015 0.864
Ag -4.569 0.366 2.257

4
Lattice="-2.434 -2.382 -1.432 2.780 -2.062 -1.295 0.085 -4.643 7.578" Properties=species:S:1:pos:R:3 comment="TbNd2Ag | the Alexandria database | GGA-PBE | relaxed" e_tot_ev_per_cell=-17.412 ef_mev_per_atom=-99 pbc="T T T"
Nd 0.066 -3.630 5.923
Nd 0.019 -1.014 1.655
Tb 0.215 -4.544 2.425
Ag 0.173 -2.222 -1.364

5
Lattice="-2.624 2.208 1.210 -1.144 0.511 -3.414 -5.194 -10.332 2.130" Properties=species:S:1:pos:R:3 comment="Tb2Nd2Ag | the Alexandria database | GGA-PBE | relaxed" e_tot_ev_per_cell=-22.153 ef_mev_per_atom=-101 pbc="T T T"
Tb -3.026 -0.088 -0.936
Tb -5.936 -7.524 0.862
Nd -6.232 -4.153 -0.471
Nd -2.729 -3.459 0.396
Ag 0.000 0.000 0.000

6
Lattice="3.652 0.000 0.000 0.000 3.652 0.000 0.000 0.000 12.402" Properties=species:S:1:pos:R:3 comment="Tb3NdAg2 | the Alexandria database | GGA-PBE | relaxed" e_tot_ev_per_cell=-25.525 ef_mev_per_atom=-194 pbc="T T T"
Tb 0.000 0.000 0.000
Tb 0.000 0.000 8.761
Tb 0.000 0.000 3.641
Nd 1.826 1.826 6.201
Ag 1.826 1.826 10.565
Ag 1.826 1.826 1.837

8
Lattice="9.393 -0.003 0.033 4.698 7.050 -0.330 4.685 2.151 3.664" Properties=species:S:1:pos:R:3 comment="Tb6NdAg | the Alexandria database | GGA-PBE | relaxed" e_tot_ev_per_cell=-35.068 ef_mev_per_atom=42 pbc="T T T"
Tb 6.016 4.656 2.652
Tb 14.983 8.250 2.315
Tb 7.162 1.977 0.474
Tb 3.793 0.948 1.052
Tb 12.759 4.542 0.715
Tb 11.613 7.221 2.893
Nd 9.388 4.599 1.684
Ag 0.000 0.000 0.000

20
Lattice="-4.746 -3.008 3.766 2.529 -10.211 1.108 4.132 -2.272 9.468" Properties=species:S:1:pos:R:3 comment="Tb3Nd5Ag2 | the Alexandria database | GGA-PBE | relaxed" e_tot_ev_per_cell=-84.305 ef_mev_per_atom=128 pbc="T T T"
Tb -1.187 -0.752 0.942
Tb -3.560 -2.256 2.825
Tb 3.324 -7.114 10.658
Tb -1.409 -8.376 3.685
Tb 0.053 -13.066 7.857
Tb 1.862 -2.425 6.485
Nd 2.144 -6.993 6.229
Nd -0.229 -8.497 8.113
Nd 2.007 -10.354 9.447
Nd -2.465 -6.641 6.778
Nd -0.092 -5.137 4.895
Nd 4.380 -8.850 7.564
Nd 2.212 -7.464 2.902
Nd -0.297 -8.027 11.440
Nd 0.583 -5.283 8.666
Nd 1.332 -10.208 5.676
Ag 4.972 -10.629 9.928
Ag -3.057 -4.862 4.414
Ag 2.443 -12.905 10.997
Ag -0.528 -2.586 3.345

8
Lattice="-0.035 -1.296 -3.537 4.950 -2.949 3.041 -6.263 -7.584 2.842" Properties=species:S:1:pos:R:3 comment="TbNd2Ag | the Alexandria database | GGA-PBE | relaxed" e_tot_ev_per_cell=-34.946 ef_mev_per_atom=-114 pbc="T T T"
Tb 2.782 -5.727 0.067
Tb -4.130 -6.102 2.278
Nd 0.209 -6.797 2.494
Nd -1.557 -5.032 -0.149
Nd -2.335 -9.878 3.648
Nd 0.987 -1.952 -1.303
Ag -2.184 -8.181 1.018
Ag 0.836 -3.649 1.327

8
Lattice="-3.038 -6.563 -1.791 2.258 -6.077 2.944 -4.528 -3.327 4.373" Properties=species:S:1:pos:R:3 comment="TbNdAg2Te4 | the Alexandria database | GGA-PBE | relaxed" e_tot_ev_per_cell=-33.495 e_form_raw_mev_per_atom=-728 pbc="T T T"
Tb -2.654 -7.984 2.763
Nd 0.000 0.000 0.000
Ag -1.249 -4.281 2.308
Ag -4.059 -11.686 3.218
Te -3.814 -5.307 2.083
Te -0.091 -7.627 4.271
Te -1.741 -9.749 0.523
Te -4.972 -9.251 4.175

7
Lattice="4.942 0.000 0.000 2.471 4.280 0.000 2.471 1.427 8.745" Properties=species:S:1:pos:R:3 comment="Tb2NdTl2Ag2 | the Alexandria database | GGA-PBE | relaxed" e_tot_ev_per_cell=-25.761 ef_mev_per_atom=-185 pbc="T T T"
Tb 2.471 1.427 5.251
Tb 7.412 4.280 3.494
Nd 0.000 0.000 0.000
Tl 7.412 4.280 6.909
Tl 2.471 1.427 1.836
Ag 4.942 2.853 2.692
Ag 4.942 2.853 6.053

Q: What is the formula in the second record?
A: TbNdAg

Copy entry 2 word for word.
3
Lattice="5.117 0.000 0.000 2.558 4.431 0.000 2.558 1.477 4.178" Properties=species:S:1:pos:R:3 comment="TbNdAg | the Alexandria database | GGA-PBE | relaxed" e_tot_ev_per_cell=-12.020 ef_mev_per_atom=76 pbc="T T T"
Nd 5.117 2.954 2.089
Tb 0.000 0.000 0.000
Ag 2.558 1.477 1.044